[1]
VASP calculation (PBE) on BaLi2HgPb2 after structural relaxation.

POSCAR file:
```
BaLi2HgPb2
1.0
5.046 0.000 0.000
0.000 5.046 0.000
0.000 0.000 6.799
Ba Li Hg Pb
1 2 1 2
Direct
0.000 0.000 0.500 Ba
0.500 0.000 0.000 Li
0.000 0.500 0.000 Li
0.000 0.000 0.000 Hg
0.500 0.500 0.738 Pb
0.500 0.500 0.262 Pb
```

E_tot = -15.48 eV/f.u.
ΔH_f (0 K) = -7.7 kcal/mol of atoms

[2]
VASP calculation (PBE) on BaLiHg4Pb2 after structural relaxation.

POSCAR file:
```
BaLiHg4Pb2
1.0
5.352 0.000 0.000
2.676 4.635 0.000
2.676 1.545 9.078
Ba Li Hg Pb
1 1 4 2
Direct
0.000 0.000 0.000 Ba
0.500 0.500 0.500 Li
0.392 0.392 0.824 Hg
0.867 0.867 0.399 Hg
0.133 0.133 0.601 Hg
0.608 0.608 0.176 Hg
0.753 0.753 0.742 Pb
0.247 0.247 0.258 Pb
```

E_tot = -14.63 eV/f.u.
ΔH_f (0 K) = -6.3 kcal/mol of atoms

[3]
VASP calculation (PBE) on Ba2Li3HgPb4 after structural relaxation.

POSCAR file:
```
Ba2Li3HgPb4
1.0
-0.810 4.736 -1.273
-4.469 -1.244 -1.784
-4.817 2.037 10.645
Ba Li Hg Pb
2 3 1 4
Direct
0.500 0.000 0.253 Ba
0.000 0.500 0.747 Ba
0.000 0.000 0.500 Li
0.500 0.000 0.875 Li
0.000 0.500 0.125 Li
0.500 0.500 0.500 Hg
0.500 0.500 0.000 Pb
0.000 0.000 0.000 Pb
0.500 0.000 0.639 Pb
0.000 0.500 0.361 Pb
```

E_tot = -28.60 eV/f.u.
ΔH_f (0 K) = -9.0 kcal/mol of atoms

[4]
VASP calculation (PBE) on BaLiHgPd after structural relaxation.

POSCAR file:
```
BaLiHgPd
1.0
4.753 0.000 0.000
-2.376 4.130 0.015
0.000 -2.727 5.460
Ba Li Hg Pd
1 1 1 1
Direct
0.620 0.239 0.502 Ba
0.808 0.617 0.066 Li
0.119 0.238 0.999 Hg
0.419 0.838 0.899 Pd
```

E_tot = -11.06 eV/f.u.
ΔH_f (0 K) = -10.0 kcal/mol of atoms
Polymorph energy (0 for the lowest one) = 0 meV per atom

[5]
VASP calculation (PBE) on BaLiHgPd after structural relaxation.

POSCAR file:
```
BaLiHgPd
1.0
-4.668 2.237 0.308
-3.367 -0.477 -3.914
-4.244 -2.924 0.572
Li Hg Pd Ba
1 1 1 1
Direct
0.750 0.750 0.750 Li
0.500 0.500 0.500 Hg
0.250 0.250 0.250 Pd
0.000 0.000 0.000 Ba
```

E_tot = -10.43 eV/f.u.
ΔH_f (0 K) = -6.3 kcal/mol of atoms
Polymorph energy (0 for the lowest one) = 157 meV per atom

[6]
VASP calculation (PBE) on BaLi2PmHg4 after structural relaxation.

POSCAR file:
```
BaLi2PmHg4
1.0
-2.979 -3.864 1.335
1.848 -4.708 0.078
2.257 -1.668 9.791
Ba Li Pm Hg
1 2 1 4
Direct
0.000 0.000 0.000 Ba
0.765 0.765 0.706 Li
0.235 0.235 0.294 Li
0.500 0.500 0.500 Pm
0.395 0.395 0.814 Hg
0.877 0.877 0.369 Hg
0.123 0.123 0.631 Hg
0.605 0.605 0.186 Hg
```

E_tot = -15.01 eV/f.u.
ΔH_f (0 K) = -9.5 kcal/mol of atoms

Which of these has the lowest ΔH_f (0 K)? number 4